No. 1
A relaxed K2PuCd3Bi4 crystal. Source: Alexandria, functional PBE-GGA.

abc: 5.2139 5.2139 12.8802
angles: 90.00 90.00 90.00
With the nearest neighbours (Å) after each atom.
Positions (direct):
1 K 0.0000 0.5000 0.7671  6 Cd 3.93-4.32, 8 Bi 3.97-4.03, 2 Pu 4.32
2 K 0.5000 0.0000 0.2329  6 Cd 3.93-4.32, 8 Bi 3.97-4.03, 2 Pu 4.32
3 Cd 0.0000 0.0000 0.5000  4 Bi 3.17
4 Cd 0.0000 0.5000 0.1284  5 Bi 2.98-3.09
5 Cd 0.5000 0.0000 0.8716  5 Bi 2.98-3.09
6 Bi 0.5000 0.0000 0.6406  3 Cd 2.98-3.17, 2 Pu 3.17
7 Bi 0.0000 0.5000 0.3594  3 Cd 2.98-3.17, 2 Pu 3.17
8 Bi 0.0000 0.0000 0.0000  4 Cd 3.09
9 Bi 0.5000 0.5000 0.0000  4 Cd 3.09
10 Pu 0.5000 0.5000 0.5000  4 Bi 3.17

Output
The calculation puts the uncorrected energy at -3.6848 eV/atom. As for the formation energy: -0.21 eV per atom. Its symmetry is P-4m2 (115).


No. 2
A relaxed U5TeAs4 crystal. Source: Alexandria, functional PBE-GGA.

abc: 4.0174 5.8574 11.1906
angles: 105.17 100.34 90.00
With the nearest neighbours (Å) after each atom.
Positions (direct):
1 U 0.8013 0.3013 0.6026  6 As 2.88-2.93
2 U 0.6081 0.1081 0.2163  4 As 2.86-2.93, 2 Te 3.05
3 U 0.1987 0.6987 0.3974  6 As 2.88-2.93
4 U 0.0000 0.5000 0.0000  4 As 2.92, 2 Te 2.93
5 U 0.3919 0.8919 0.7837  4 As 2.86-2.93, 2 Te 3.05
6 As 0.5998 0.5998 0.1995  6 U 2.91-2.93
7 As 0.2039 0.2039 0.4078  6 U 2.86-2.93
8 As 0.7961 0.7961 0.5922  6 U 2.86-2.93
9 As 0.4002 0.4002 0.8005  6 U 2.91-2.93
10 Te 0.0000 0.0000 0.0000  6 U 2.93-3.05

Output
The calculation puts the uncorrected energy at -8.4383 eV/atom. The formation energy from raw total energies comes out at -0.620 eV/atom. Its symmetry is Immm (71).


No. 3
A relaxed LaTmCuPt crystal. Source: Alexandria, functional PBE-GGA.

abc: 5.0312 5.0312 5.0312
angles: 60.00 60.00 60.00
With the nearest neighbours (Å) after each atom.
Positions (direct):
1 La 0.2500 0.2500 0.2500  4 Cu 3.08, 4 Pt 3.08
2 Pt 0.5000 0.5000 0.5000  4 Tm 3.08, 4 La 3.08
3 Tm 0.7500 0.7500 0.7500  4 Pt 3.08, 4 Cu 3.08
4 Cu 0.0000 0.0000 0.0000  4 La 3.08, 4 Tm 3.08

Output
The calculation puts the uncorrected energy at -5.5803 eV/atom. As for the formation energy: -0.70 eV per atom. The distance to the lowest polymorph of the same formula is 44 meV per atom. Its symmetry is F-43m (216).


No. 4
A relaxed Nd8Sm4Sc crystal. Source: Alexandria, functional PBE-GGA.

abc: 11.8279 11.8279 7.8442
angles: 90.00 138.93 120.00
With the nearest neighbours (Å) after each atom.
Positions (direct):
1 Sc 0.0000 0.5000 0.5000  2 Nd 2.93
2 Nd 0.5055 0.7527 0.2582  1 Sm 2.86, 1 Sc 2.93
3 Nd 0.1622 0.3316 0.9927  3 Sm 3.41-3.42, 3 Nd 3.42-3.56
4 Nd 0.8378 0.1694 0.0073  3 Sm 3.41-3.42, 3 Nd 3.42-3.56
5 Nd 0.6611 0.8306 0.9927  3 Sm 3.41-3.42, 3 Nd 3.42-3.56
6 Nd 0.3389 0.1694 0.0073  3 Sm 3.41-3.42, 3 Nd 3.42-3.56
7 Nd 0.8378 0.6684 0.0073  3 Sm 3.41-3.42, 3 Nd 3.42-3.56
8 Nd 0.4945 0.2473 0.7418  1 Sm 2.86, 1 Sc 2.93
9 Nd 0.1622 0.8306 0.9927  3 Sm 3.41-3.42, 3 Nd 3.42-3.56
10 Sm 0.5000 0.0000 0.0000  6 Nd 3.41-3.56
11 Sm 0.5000 0.5000 0.0000  6 Nd 3.41-3.56
12 Sm 0.0000 0.0000 0.0000  2 Nd 2.86
13 Sm 0.0000 0.5000 0.0000  6 Nd 3.41-3.56

Output
The calculation puts the uncorrected energy at -4.4605 eV/atom. As for the formation energy: 0.41 eV per atom. Its symmetry is R-3m (166).


No. 5
A relaxed CsNa2PPt crystal. Source: Alexandria, functional PBE-GGA.

abc: 5.6839 5.6839 4.5097
angles: 90.00 90.00 90.00
With the nearest neighbours (Å) after each atom.
Positions (direct):
1 Na 0.0000 0.5000 0.0000  2 Pt 2.84
2 Na 0.5000 0.0000 0.0000  2 Pt 2.84
3 Pt 0.0000 0.0000 0.0000  2 P 2.25
4 P 0.0000 0.0000 0.5000  2 Pt 2.25
5 Cs 0.5000 0.5000 0.5000  8 Na 3.63, 4 P 4.02

Output
The calculation puts the uncorrected energy at -3.2783 eV/atom. As for the formation energy: -0.29 eV per atom. The distance to the lowest polymorph of the same formula is 0 meV per atom. Its symmetry is P4/mmm (123).


No. 6
A relaxed MgGa7 crystal. Source: Alexandria, functional PBE-GGA.

abc: 5.9611 5.9611 5.9611
angles: 60.00 60.00 60.00
With the nearest neighbours (Å) after each atom.
Positions (direct):
1 Ga 0.5000 0.5000 0.0000  10 Ga 2.98, 2 Mg 2.98
2 Ga 0.0000 0.5000 0.0000  10 Ga 2.98, 2 Mg 2.98
3 Ga 0.0000 0.5000 0.5000  2 Mg 2.98, 10 Ga 2.98
4 Ga 0.0000 0.0000 0.5000  10 Ga 2.98, 2 Mg 2.98
5 Ga 0.5000 0.0000 0.0000  10 Ga 2.98, 2 Mg 2.98
6 Ga 0.5000 0.0000 0.5000  10 Ga 2.98, 2 Mg 2.98
7 Ga 0.5000 0.5000 0.5000  12 Ga 2.98
8 Mg 0.0000 0.0000 0.0000  12 Ga 2.98

Output
The calculation puts the uncorrected energy at -2.9016 eV/atom. As for the formation energy: -0.05 eV per atom. Its symmetry is Fm-3m (225).


No. 7
A relaxed YLu2I crystal. Source: Alexandria, functional PBE-GGA.

abc: 3.7091 3.7091 10.5239
angles: 79.85 79.85 60.00
With the nearest neighbours (Å) after each atom.
Positions (direct):
1 I 0.0000 0.0000 0.0000  6 Lu 3.26
2 Lu 0.7461 0.7461 0.7618  3 I 3.26, 3 Y 3.44
3 Lu 0.2539 0.2539 0.2382  3 I 3.26, 3 Y 3.44
4 Y 0.5000 0.5000 0.5000  6 Lu 3.44, 6 Y 3.71

Output
The calculation puts the uncorrected energy at -4.5596 eV/atom. The formation energy from raw total energies comes out at -0.296 eV/atom. Its symmetry is R-3m (166).


No. 8
A relaxed YAg5Te4 crystal. Source: Alexandria, functional PBE-GGA.

abc: 4.5014 8.3645 8.9125
angles: 117.99 104.63 90.00
With the nearest neighbours (Å) after each atom.
Positions (direct):
1 Ag 0.8137 0.0306 0.6274  4 Te 2.84-2.91, 2 Ag 3.01
2 Ag 0.5000 0.5000 0.0000  4 Te 2.98
3 Ag 0.8137 0.5967 0.6274  4 Te 2.84-2.91, 2 Ag 3.01
4 Ag 0.1863 0.4033 0.3726  4 Te 2.84-2.91, 2 Ag 3.01
5 Ag 0.1863 0.9694 0.3726  4 Te 2.84-2.91, 2 Ag 3.01
6 Y 0.5000 0.0000 0.0000  6 Te 3.15-3.17
7 Te 0.0000 0.2665 0.0000  4 Ag 2.84-2.98, 2 Y 3.17
8 Te 0.2910 0.7910 0.5821  6 Ag 2.85-2.91, 1 Y 3.15
9 Te 0.7090 0.2090 0.4179  6 Ag 2.85-2.91, 1 Y 3.15
10 Te 0.0000 0.7335 0.0000  4 Ag 2.84-2.98, 2 Y 3.17

Output
The calculation puts the uncorrected energy at -3.6705 eV/atom. The formation energy from raw total energies comes out at -0.342 eV/atom. Its symmetry is Immm (71).


No. 9
A relaxed K4CuS2 crystal. Source: Alexandria, functional PBE-GGA.

abc: 5.2585 5.2585 12.0919
angles: 77.44 77.44 60.00
With the nearest neighbours (Å) after each atom.
Positions (direct):
1 S 0.0614 0.0614 0.8159  1 Cu 2.16
2 S 0.9386 0.9386 0.1841  1 Cu 2.16
3 K 0.6253 0.6253 0.1241  3 S 3.12, 3 Cu 3.37
4 K 0.3747 0.3747 0.8759  3 S 3.12, 3 Cu 3.37
5 K 0.2215 0.2215 0.3356  3 S 3.52, 3 K 3.92
6 K 0.7785 0.7785 0.6644  3 S 3.52, 3 K 3.92
7 Cu 0.0000 0.0000 0.0000  2 S 2.16

Output
The calculation puts the uncorrected energy at -3.1291 eV/atom. The formation energy from raw total energies comes out at -0.738 eV/atom. Its symmetry is R-3m (166).


No. 10
A relaxed Pr2InTe crystal. Source: Alexandria, functional PBE-GGA.

abc: 4.3543 4.3543 8.4812
angles: 75.13 75.13 60.00
With the nearest neighbours (Å) after each atom.
Positions (direct):
1 In 0.0000 0.0000 0.0000  6 Pr 3.26
2 Pr 0.2482 0.2482 0.2553  3 Te 3.20, 3 In 3.26
3 Pr 0.7518 0.7518 0.7447  3 Te 3.20, 3 In 3.26
4 Te 0.5000 0.5000 0.5000  6 Pr 3.20

Output
The calculation puts the uncorrected energy at -4.7748 eV/atom. The formation energy from raw total energies comes out at -0.915 eV/atom. The distance to the lowest polymorph of the same formula is 73 meV per atom. Its symmetry is R-3m (166).


No. 11
A relaxed YAsIN2 crystal. Source: Alexandria, functional PBE-GGA.

abc: 4.4401 4.4401 6.5290
angles: 90.00 90.00 90.00
With the nearest neighbours (Å) after each atom.
Positions (direct):
1 Y 0.0000 0.0000 0.0000  4 N 2.22
2 I 0.0000 0.0000 0.5000  4 As 3.14, 2 Y 3.26
3 N 0.5000 0.0000 0.0000  2 Y 2.22
4 N 0.0000 0.5000 0.0000  2 Y 2.22
5 As 0.5000 0.5000 0.5000  4 I 3.14

Output
The calculation puts the uncorrected energy at -4.9020 eV/atom. The formation energy from raw total energies comes out at 0.961 eV/atom. The distance to the lowest polymorph of the same formula is 54 meV per atom. Its symmetry is P4/mmm (123).


No. 12
A relaxed IrAu3 crystal. Source: Alexandria, functional PBE-GGA.

abc: 4.7881 4.9583 5.7849
angles: 90.00 90.00 90.00
With the nearest neighbours (Å) after each atom.
Positions (direct):
1 Au 0.5000 0.1711 0.2518  8 Au 2.82-2.93, 4 Ir 2.84-2.90
2 Au 0.5000 0.1711 0.7482  8 Au 2.82-2.93, 4 Ir 2.84-2.90
3 Au 0.0000 0.8289 0.7518  8 Au 2.82-2.93, 4 Ir 2.84-2.90
4 Au 0.0000 0.3419 0.5000  8 Au 2.82-2.93, 4 Ir 2.89-2.92
5 Au 0.5000 0.6581 0.0000  8 Au 2.82-2.93, 4 Ir 2.89-2.92
6 Au 0.0000 0.8289 0.2482  8 Au 2.82-2.93, 4 Ir 2.84-2.90
7 Ir 0.5000 0.6777 0.5000  12 Au 2.84-2.92
8 Ir 0.0000 0.3223 0.0000  12 Au 2.84-2.92

Output
The calculation puts the uncorrected energy at -4.2869 eV/atom. As for the formation energy: 0.39 eV per atom. Its symmetry is Pmmn (59).